[1]
! Tm6Tl2Sn | the Alexandria database | GGA-PBE | optimized geometry; values from VASP
&SYSTEM
  ibrav = 0, nat = 18, ntyp = 3
/
ATOMIC_SPECIES
Tm 168.93 Tm.upf
Tl 204.38 Tl.upf
Sn 118.71 Sn.upf
ATOMIC_POSITIONS angstrom
Tm -2.0778 1.5106 4.1932
Tm -4.6923 2.9834 8.9573
Tm -0.0703 6.1190 4.1675
Tm -2.6848 7.3631 8.9316
Tm 0.8698 0.2706 2.9400
Tm -1.7446 4.2234 7.7041
Tm 2.5436 4.7647 1.8240
Tm -0.0709 8.7175 6.5881
Tm 3.4838 1.6250 0.5966
Tm 0.8693 2.8691 5.3606
Tm 5.4912 6.0047 0.5708
Tm 2.8767 7.4775 5.3349
Tl -2.9017 1.1285 7.1860
Tl -0.2872 3.3655 2.4220
Tl 1.0862 5.6226 7.1062
Tl 3.7007 7.8596 2.3421
Sn 0.0000 0.0000 0.0000
Sn -2.6145 4.4940 4.7641
CELL_PARAMETERS angstrom
6.0280 0.0000 0.0000
0.0000 8.9881 0.0000
-5.2290 0.0000 9.5281
! **V**: 28.68 A^3/atom
! **DOS at the Fermi energy**: 15.7 states/eV/cell
! **Energy of formation**: -0.229 eV per atom

[2]
! TmTlSn4 | the Alexandria database | GGA-PBE | optimized geometry; values from VASP
&SYSTEM
  ibrav = 0, nat = 6, ntyp = 3
/
ATOMIC_SPECIES
Tm 168.93 Tm.upf
Tl 204.38 Tl.upf
Sn 118.71 Sn.upf
ATOMIC_POSITIONS angstrom
Tm 0.0000 0.0000 0.0000
Tl 2.1974 2.1974 2.1974
Sn 5.4974 3.2921 3.2921
Sn 3.2921 5.4974 3.2921
Sn 3.2921 3.2921 5.4974
Sn 5.4974 5.4974 5.4974
CELL_PARAMETERS angstrom
0.0000 4.3948 4.3948
4.3948 0.0000 4.3948
4.3948 4.3948 0.0000
! **V**: 28.29 A^3/atom
! **DOS at the Fermi energy**: 2.0 states/eV/cell
! **Energy of formation**: -0.085 eV per atom

[3]
! Tm3Tl2Sn | the Alexandria database | GGA-PBE | optimized geometry; values from VASP
&SYSTEM
  ibrav = 0, nat = 6, ntyp = 3
/
ATOMIC_SPECIES
Tm 168.93 Tm.upf
Tl 204.38 Tl.upf
Sn 118.71 Sn.upf
ATOMIC_POSITIONS angstrom
Tm 0.0000 0.0000 0.0000
Tm 2.6824 2.5998 0.0000
Tm 2.6824 -2.5998 0.0000
Tl 2.6824 5.3013 1.8290
Tl 2.6824 -5.3013 1.8290
Sn 2.6824 0.0000 1.8290
CELL_PARAMETERS angstrom
2.6824 -8.0797 0.0000
2.6824 8.0797 0.0000
0.0000 0.0000 3.6580
! **V**: 26.43 A^3/atom
! **DOS at the Fermi energy**: 4.1 states/eV/cell
! **Energy of formation**: -0.375 eV per atom

[4]
! TmTlSn | the Alexandria database | GGA-PBE | optimized geometry; values from VASP
&SYSTEM
  ibrav = 0, nat = 3, ntyp = 3
/
ATOMIC_SPECIES
Tm 168.93 Tm.upf
Tl 204.38 Tl.upf
Sn 118.71 Sn.upf
ATOMIC_POSITIONS angstrom
Tm 0.0000 0.0000 0.0000
Tl 0.0000 0.0000 5.9793
Sn 0.0000 0.0000 3.0305
CELL_PARAMETERS angstrom
-1.6612 1.6612 8.2469
1.6612 -1.6612 8.2469
1.6612 1.6612 -8.2469
! **Energy above the lowest structure with this stoichiometry**: 0.335 eV per atom
! **V**: 30.34 A^3/atom
! **DOS at the Fermi energy**: 2.8 states/eV/cell
! **Energy of formation**: 0.109 eV per atom

[5]
! Tm5Tl4Sn | the Alexandria database | GGA-PBE | optimized geometry; values from VASP
&SYSTEM
  ibrav = 0, nat = 10, ntyp = 3
/
ATOMIC_SPECIES
Tm 168.93 Tm.upf
Tl 204.38 Tl.upf
Sn 118.71 Sn.upf
ATOMIC_POSITIONS angstrom
Tm 0.0000 0.0000 0.0000
Tm 0.0000 0.0000 4.1166
Tm 0.0000 0.0000 8.2639
Tm 0.0000 0.0000 12.2779
Tm 0.0000 0.0000 16.4253
Tl 1.7889 1.7889 2.0525
Tl 1.7889 1.7889 6.1551
Tl 1.7889 1.7889 14.3868
Tl 1.7889 1.7889 18.4893
Sn 1.7889 1.7889 10.2709
CELL_PARAMETERS angstrom
3.5778 0.0000 0.0000
0.0000 3.5778 0.0000
0.0000 0.0000 20.5419
! **V**: 26.29 A^3/atom
! **DOS at the Fermi energy**: 6.8 states/eV/cell
! **Energy of formation**: -0.344 eV per atom

[6]
! TmTlSn | the Alexandria database | GGA-PBE | optimized geometry; values from VASP
&SYSTEM
  ibrav = 0, nat = 3, ntyp = 3
/
ATOMIC_SPECIES
Tm 168.93 Tm.upf
Tl 204.38 Tl.upf
Sn 118.71 Sn.upf
ATOMIC_POSITIONS angstrom
Tm 0.0000 0.0000 0.0000
Tl 0.0000 2.9881 1.1685
Sn 2.5878 1.4941 2.1039
CELL_PARAMETERS angstrom
5.1756 0.0000 0.0000
-2.5878 4.4822 0.0000
0.0000 0.0000 3.4836
! **Energy above the lowest structure with this stoichiometry**: 0.000 eV per atom
! **V**: 26.94 A^3/atom
! **DOS at the Fermi energy**: 1.4 states/eV/cell
! **Energy of formation**: -0.225 eV per atom

[7]
! Tm8Tl2Sn | the Alexandria database | GGA-PBE | optimized geometry; values from VASP
&SYSTEM
  ibrav = 0, nat = 11, ntyp = 3
/
ATOMIC_SPECIES
Tm 168.93 Tm.upf
Tl 204.38 Tl.upf
Sn 118.71 Sn.upf
ATOMIC_POSITIONS angstrom
Tm 0.5192 1.6569 3.1762
Tm 4.3382 4.1128 0.0000
Tm 0.5192 -1.6569 3.1762
Tm 3.0362 0.0000 1.0285
Tm 3.5249 0.0000 4.0659
Tm 6.0418 1.6569 1.9182
Tm 4.3382 -4.1128 0.0000
Tm 6.0418 -1.6569 1.9182
Tl 3.2805 2.8494 2.5472
Tl 3.2805 -2.8494 2.5472
Sn 0.0000 0.0000 0.0000
CELL_PARAMETERS angstrom
4.3382 -7.2660 0.0000
4.3382 7.2660 0.0000
-2.1155 0.0000 5.0944
! **V**: 29.20 A^3/atom
! **DOS at the Fermi energy**: 13.4 states/eV/cell
! **Energy of formation**: -0.129 eV per atom

[8]
! Tm8TlSn2 | the Alexandria database | GGA-PBE | optimized geometry; values from VASP
&SYSTEM
  ibrav = 0, nat = 11, ntyp = 3
/
ATOMIC_SPECIES
Tm 168.93 Tm.upf
Tl 204.38 Tl.upf
Sn 118.71 Sn.upf
ATOMIC_POSITIONS angstrom
Tm 0.0056 0.0000 1.7222
Tm 2.8233 0.0000 5.4300
Tm 5.7774 0.0000 3.2750
Tm 7.8063 0.0000 0.1443
Tm 9.8303 0.0000 6.4261
Tm 11.8591 0.0000 3.2955
Tm 14.8132 0.0000 1.1405
Tm 17.6309 0.0000 4.8482
Tl 8.8183 0.0000 3.2852
Sn 3.0775 0.0000 1.7085
Sn 14.5591 0.0000 4.8620
CELL_PARAMETERS angstrom
9.6218 -2.5017 0.0000
9.6218 2.5017 0.0000
-1.6070 0.0000 6.5705
! **V**: 28.76 A^3/atom
! **DOS at the Fermi energy**: 11.2 states/eV/cell
! **Energy of formation**: -0.278 eV per atom

[9]
! UTlSn | the Alexandria database | GGA-PBE | optimized geometry; values from VASP
&SYSTEM
  ibrav = 0, nat = 6, ntyp = 3
/
ATOMIC_SPECIES
U 238.03 U.upf
Tl 204.38 Tl.upf
Sn 118.71 Sn.upf
ATOMIC_POSITIONS angstrom
U 0.0730 0.0000 1.2153
U 8.2352 0.0000 5.6198
Tl 3.3529 0.0000 0.5480
Tl 4.9552 0.0000 6.2872
Sn 1.1759 0.0000 4.2257
Sn 7.1323 0.0000 2.6094
CELL_PARAMETERS angstrom
5.0785 -2.4596 0.0000
5.0785 2.4596 0.0000
-1.8488 0.0000 6.8351
! **V**: 28.46 A^3/atom
! **DOS at the Fermi energy**: 10.7 states/eV/cell
! **Energy of formation**: 0.311 eV per atom

[10]
! UTlSn2 | the Alexandria database | GGA-PBE | optimized geometry; values from VASP
&SYSTEM
  ibrav = 0, nat = 4, ntyp = 3
/
ATOMIC_SPECIES
U 238.03 U.upf
Tl 204.38 Tl.upf
Sn 118.71 Sn.upf
ATOMIC_POSITIONS angstrom
U 0.0000 0.0000 0.0000
Tl 0.0000 0.0000 18.0717
Sn 0.0000 0.0000 14.8367
Sn 0.0000 0.0000 21.3067
CELL_PARAMETERS angstrom
1.5964 0.9217 12.0478
-1.5964 0.9217 12.0478
0.0000 -1.8434 12.0478
! **Energy above the lowest structure with this stoichiometry**: 0.028 eV per atom
! **V**: 26.59 A^3/atom
! **DOS at the Fermi energy**: 6.3 states/eV/cell
! **Energy of formation**: 0.114 eV per atom

[11]
! U2TlSn9 | the Alexandria database | GGA-PBE | optimized geometry; values from VASP
&SYSTEM
  ibrav = 0, nat = 12, ntyp = 3
/
ATOMIC_SPECIES
U 238.03 U.upf
Tl 204.38 Tl.upf
Sn 118.71 Sn.upf
ATOMIC_POSITIONS angstrom
U 0.0000 0.0000 2.2455
U 0.0000 0.0000 12.3403
Tl 0.0000 0.0000 7.2929
Sn 0.0000 2.3212 0.0000
Sn 0.0000 2.3212 4.7055
Sn 0.0000 2.3212 9.8803
Sn 2.3212 0.0000 0.0000
Sn 2.3212 0.0000 4.7055
Sn 2.3212 0.0000 9.8803
Sn 2.3212 2.3212 2.3547
Sn 2.3212 2.3212 7.2929
Sn 2.3212 2.3212 12.2311
CELL_PARAMETERS angstrom
4.6424 0.0000 0.0000
0.0000 4.6424 0.0000
0.0000 0.0000 14.5858
! **V**: 26.20 A^3/atom
! **DOS at the Fermi energy**: 17.4 states/eV/cell
! **Energy of formation**: -0.034 eV per atom

[12]
! UTlSn2 | the Alexandria database | GGA-PBE | optimized geometry; values from VASP
&SYSTEM
  ibrav = 0, nat = 4, ntyp = 3
/
ATOMIC_SPECIES
U 238.03 U.upf
Tl 204.38 Tl.upf
Sn 118.71 Sn.upf
ATOMIC_POSITIONS angstrom
U 0.0000 0.0000 0.0000
Tl 0.0000 0.0000 3.2608
Sn 2.0419 2.0419 1.5325
Sn 2.0419 2.0419 4.9891
CELL_PARAMETERS angstrom
4.0838 0.0000 0.0000
0.0000 4.0838 0.0000
0.0000 0.0000 6.5215
! **Energy above the lowest structure with this stoichiometry**: 0.033 eV per atom
! **V**: 27.19 A^3/atom
! **DOS at the Fermi energy**: 6.3 states/eV/cell
! **Energy of formation**: 0.119 eV per atom

[13]
! UTlSn2 | the Alexandria database | GGA-PBE | optimized geometry; values from VASP
&SYSTEM
  ibrav = 0, nat = 4, ntyp = 3
/
ATOMIC_SPECIES
U 238.03 U.upf
Tl 204.38 Tl.upf
Sn 118.71 Sn.upf
ATOMIC_POSITIONS angstrom
U 0.0000 0.0000 0.0000
Tl 2.9047 2.9047 0.0000
Sn 0.0000 2.9047 1.5892
Sn 2.9047 0.0000 1.5892
CELL_PARAMETERS angstrom
5.8095 0.0000 0.0000
0.0000 5.8095 0.0000
0.0000 0.0000 3.1784
! **Energy above the lowest structure with this stoichiometry**: 0.000 eV per atom
! **V**: 26.82 A^3/atom
! **DOS at the Fermi energy**: 6.6 states/eV/cell
! **Energy of formation**: 0.086 eV per atom

Asked for VASP energy across the records above, the calculation gives -4.180; -3.893; -4.066; -3.504; -3.927; -3.839; -4.175; -4.473; -5.575; -5.301; -5.115; -5.296; -5.329 eV/atom in order.